# Zr3Fe2Si3 PBE optimized geometry
# V ... 504.46 Å³/cell
# Uncorrected energy ... -65.2 eV per formula unit
data_Zr3Fe2Si3
_chemical_formula_sum 'Zr12 Fe8 Si12'
_symmetry_space_group_name_H-M 'C m c m'
_symmetry_Int_Tables_number 63
_symmetry_space_group_name_Hall '-C 2c 2'
_cell_length_a 3.853
_cell_length_b 10.085
_cell_length_c 12.982
_cell_angle_alpha 90.00
_cell_angle_beta 90.00
_cell_angle_gamma 90.00
loop_
_atom_site_label
_atom_site_type_symbol
_atom_site_fract_x
_atom_site_fract_y
_atom_site_fract_z
_atom_site_occupancy
Zr1 Zr 0.000 0.077 0.114 1
Zr2 Zr 0.000 0.364 0.250 1
Fe1 Fe 0.000 0.221 0.581 1
Si1 Si 0.000 0.332 0.750 1
Si2 Si 0.000 0.387 0.042 1

# ZrFeSi2 PBE optimized geometry
# V ... 120.06 Å³/cell
# Uncorrected energy ... -29.1 eV per formula unit
data_ZrFeSi2
_chemical_formula_sum 'Zr2 Fe2 Si4'
_symmetry_space_group_name_H-M 'C 1 m 1'
_symmetry_Int_Tables_number 8
_cell_length_a 8.167
_cell_length_b 3.081
_cell_length_c 4.890
_cell_angle_alpha 90.00
_cell_angle_beta 102.66
_cell_angle_gamma 90.00
loop_
_symmetry_equiv_pos_as_xyz
'x,y,z'
'x,-y,z'
'x+1/2,y+1/2,z'
'x+1/2,-y+1/2,z'
loop_
_atom_site_label
_atom_site_type_symbol
_atom_site_fract_x
_atom_site_fract_y
_atom_site_fract_z
_atom_site_occupancy
Zr1 Zr 0.000 0.000 0.000 1
Fe1 Fe 0.232 0.000 0.647 1
Si1 Si 0.003 0.500 0.504 1
Si2 Si 0.261 0.500 0.313 1

# ZrFeSi2 PBE optimized geometry
# V ... 62.11 Å³/cell
# Uncorrected energy ... -29.6 eV per formula unit
data_ZrFeSi2
_chemical_formula_sum 'Zr1 Fe1 Si2'
_symmetry_space_group_name_H-M 'P m m m'
_symmetry_Int_Tables_number 47
_cell_length_a 3.166
_cell_length_b 3.975
_cell_length_c 4.935
_cell_angle_alpha 90.00
_cell_angle_beta 90.00
_cell_angle_gamma 90.00
loop_
_symmetry_equiv_pos_as_xyz
'x,y,z'
'-x,-y,-z'
'-x,-y,z'
'x,y,-z'
'x,-y,-z'
'-x,y,z'
'-x,y,-z'
'x,-y,z'
loop_
_atom_site_label
_atom_site_type_symbol
_atom_site_fract_x
_atom_site_fract_y
_atom_site_fract_z
_atom_site_occupancy
Zr1 Zr 0.000 0.000 0.000 1
Fe1 Fe 0.500 0.000 0.500 1
Si1 Si 0.500 0.500 0.256 1

# Zr4Fe7Si6 PBE optimized geometry
# V ... 471.93 Å³/cell
# Uncorrected energy ... -136.7 eV per formula unit
data_Zr4Fe7Si6
_chemical_formula_sum 'Zr8 Fe14 Si12'
_symmetry_space_group_name_H-M 'I m -3 m'
_symmetry_Int_Tables_number 229
_symmetry_space_group_name_Hall '-I 4 2 3'
_cell_length_a 7.786
_cell_length_b 7.786
_cell_length_c 7.786
_cell_angle_alpha 90.00
_cell_angle_beta 90.00
_cell_angle_gamma 90.00
loop_
_atom_site_label
_atom_site_type_symbol
_atom_site_fract_x
_atom_site_fract_y
_atom_site_fract_z
_atom_site_occupancy
Zr1 Zr 0.250 0.250 0.250 1
Fe1 Fe 0.000 0.000 0.000 1
Fe2 Fe 0.000 0.250 0.500 1
Si1 Si 0.000 0.000 0.320 1

# Zr2Fe3Si3 PBE optimized geometry
# V ... 465.90 Å³/cell
# Uncorrected energy ... -62.5 eV per formula unit
data_Zr2Fe3Si3
_chemical_formula_sum 'Zr8 Fe12 Si12'
_symmetry_space_group_name_H-M 'C m c m'
_symmetry_Int_Tables_number 63
_symmetry_space_group_name_Hall '-C 2c 2'
_cell_length_a 3.792
_cell_length_b 9.581
_cell_length_c 12.822
_cell_angle_alpha 90.00
_cell_angle_beta 90.00
_cell_angle_gamma 90.00
loop_
_atom_site_label
_atom_site_type_symbol
_atom_site_fract_x
_atom_site_fract_y
_atom_site_fract_z
_atom_site_occupancy
Zr1 Zr 0.000 0.145 0.076 1
Fe1 Fe 0.000 0.302 0.250 1
Fe2 Fe 0.000 0.460 0.086 1
Si1 Si 0.000 0.149 0.646 1
Si2 Si 0.000 0.401 0.750 1

# Zr3Fe3Si2 PBE optimized geometry
# V ... 498.63 Å³/cell
# Uncorrected energy ... -65.9 eV per formula unit
data_Zr3Fe3Si2
_chemical_formula_sum 'Zr12 Fe12 Si8'
_symmetry_space_group_name_H-M 'C m c m'
_symmetry_Int_Tables_number 63
_symmetry_space_group_name_Hall '-C 2c 2'
_cell_length_a 3.952
_cell_length_b 9.560
_cell_length_c 13.198
_cell_angle_alpha 90.00
_cell_angle_beta 90.00
_cell_angle_gamma 90.00
loop_
_atom_site_label
_atom_site_type_symbol
_atom_site_fract_x
_atom_site_fract_y
_atom_site_fract_z
_atom_site_occupancy
Zr1 Zr 0.000 0.086 0.112 1
Zr2 Zr 0.000 0.373 0.250 1
Fe1 Fe 0.000 0.352 0.750 1
Fe2 Fe 0.000 0.373 0.028 1
Si1 Si 0.000 0.204 0.605 1

# Zr2Fe3Si3 PBE optimized geometry
# V ... 471.97 Å³/cell
# Uncorrected energy ... -61.7 eV per formula unit
data_Zr2Fe3Si3
_chemical_formula_sum 'Zr8 Fe12 Si12'
_symmetry_space_group_name_H-M 'C m c m'
_symmetry_Int_Tables_number 63
_symmetry_space_group_name_Hall '-C 2c 2'
_cell_length_a 3.027
_cell_length_b 13.010
_cell_length_c 11.986
_cell_angle_alpha 90.00
_cell_angle_beta 90.00
_cell_angle_gamma 90.00
loop_
_atom_site_label
_atom_site_type_symbol
_atom_site_fract_x
_atom_site_fract_y
_atom_site_fract_z
_atom_site_occupancy
Zr1 Zr 0.000 0.242 0.122 1
Fe1 Fe 0.000 0.026 0.613 1
Fe2 Fe 0.000 0.407 0.750 1
Si1 Si 0.000 0.408 0.250 1
Si2 Si 0.000 0.408 0.529 1

# ZrFeSi3 PBE optimized geometry
# V ... 125.97 Å³/cell
# Uncorrected energy ... -26.8 eV per formula unit
data_ZrFeSi3
_chemical_formula_sum 'Zr1 Fe1 Si3'
_symmetry_space_group_name_H-M 'P m -3 m'
_symmetry_Int_Tables_number 221
_symmetry_space_group_name_Hall '-P 4 2 3'
_cell_length_a 5.013
_cell_length_b 5.013
_cell_length_c 5.013
_cell_angle_alpha 90.00
_cell_angle_beta 90.00
_cell_angle_gamma 90.00
loop_
_atom_site_label
_atom_site_type_symbol
_atom_site_fract_x
_atom_site_fract_y
_atom_site_fract_z
_atom_site_occupancy
Zr1 Zr 0.000 0.000 0.000 1
Fe1 Fe 0.500 0.500 0.500 1
Si1 Si 0.000 0.000 0.500 1

# ZrFeSi2 PBE optimized geometry
# V ... 231.49 Å³/cell
# Uncorrected energy ... -30.5 eV per formula unit
data_ZrFeSi2
_chemical_formula_sum 'Zr4 Fe4 Si8'
_symmetry_space_group_name_H-M 'P n m a'
_symmetry_Int_Tables_number 62
_cell_length_a 6.226
_cell_length_b 3.938
_cell_length_c 9.442
_cell_angle_alpha 90.00
_cell_angle_beta 90.00
_cell_angle_gamma 90.00
loop_
_symmetry_equiv_pos_as_xyz
'x,y,z'
'-x,-y,-z'
'-x+1/2,-y,z+1/2'
'x+1/2,y,-z+1/2'
'x+1/2,-y+1/2,-z+1/2'
'-x+1/2,y+1/2,z+1/2'
'-x,y+1/2,-z'
'x,-y+1/2,z'
loop_
_atom_site_label
_atom_site_type_symbol
_atom_site_fract_x
_atom_site_fract_y
_atom_site_fract_z
_atom_site_occupancy
Zr1 Zr 0.230 0.250 0.181 1
Fe1 Fe 0.088 0.250 0.903 1
Si1 Si 0.045 0.750 0.341 1
Si2 Si 0.240 0.750 0.971 1

# Zr2FeSi4 PBE optimized geometry
# V ... 231.07 Å³/cell
# Uncorrected energy ... -48.7 eV per formula unit
data_Zr2FeSi4
_chemical_formula_sum 'Zr4 Fe2 Si8'
_symmetry_space_group_name_H-M 'P 42/m n m'
_symmetry_Int_Tables_number 136
_symmetry_space_group_name_Hall '-P 4n 2n'
_cell_length_a 6.782
_cell_length_b 6.782
_cell_length_c 5.023
_cell_angle_alpha 90.00
_cell_angle_beta 90.00
_cell_angle_gamma 90.00
loop_
_atom_site_label
_atom_site_type_symbol
_atom_site_fract_x
_atom_site_fract_y
_atom_site_fract_z
_atom_site_occupancy
Zr1 Zr 0.175 0.175 0.000 1
Fe1 Fe 0.000 0.000 0.500 1
Si1 Si 0.074 0.339 0.500 1

# ZrFeSi2 PBE optimized geometry
# V ... 236.69 Å³/cell
# Uncorrected energy ... -28.1 eV per formula unit
data_ZrFeSi2
_chemical_formula_sum 'Zr4 Fe4 Si8'
_symmetry_space_group_name_H-M 'F -4 3 m'
_symmetry_Int_Tables_number 216
_symmetry_space_group_name_Hall 'F -4 2 3'
_cell_length_a 6.186
_cell_length_b 6.186
_cell_length_c 6.186
_cell_angle_alpha 90.00
_cell_angle_beta 90.00
_cell_angle_gamma 90.00
loop_
_atom_site_label
_atom_site_type_symbol
_atom_site_fract_x
_atom_site_fract_y
_atom_site_fract_z
_atom_site_occupancy
Zr1 Zr 0.000 0.000 0.000 1
Fe1 Fe 0.250 0.250 0.750 1
Si1 Si 0.000 0.000 0.500 1
Si2 Si 0.250 0.250 0.250 1

# Zr2Fe4Si PBE optimized geometry
# V ... 214.91 Å³/cell
# Uncorrected energy ... -56.5 eV per formula unit
data_Zr2Fe4Si
_chemical_formula_sum 'Zr4 Fe8 Si2'
_symmetry_space_group_name_H-M 'P 42/m n m'
_symmetry_Int_Tables_number 136
_symmetry_space_group_name_Hall '-P 4n 2n'
_cell_length_a 6.709
_cell_length_b 6.709
_cell_length_c 4.775
_cell_angle_alpha 90.00
_cell_angle_beta 90.00
_cell_angle_gamma 90.00
loop_
_atom_site_label
_atom_site_type_symbol
_atom_site_fract_x
_atom_site_fract_y
_atom_site_fract_z
_atom_site_occupancy
Zr1 Zr 0.194 0.194 0.000 1
Fe1 Fe 0.086 0.352 0.500 1
Si1 Si 0.000 0.000 0.500 1

Raw formation energy across the listed records, respectively: -6.323; -1.221; -1.728; -10.725; -3.715; -4.024; -2.929; 6.441; -2.688; -1.418; -0.258; -0.158 eV/f.u..
Spin magnetization across the listed records, respectively: 0.00; 0.00; 1.22; 4.77; 1.59; 2.47; 4.83; 3.78; 0.00; 1.29; 0.00; 6.94 μB per formula unit.